Entry from OQMD: crystalline Er2Tm2In5Os2 at its relaxed geometry (GGA-PBE). Values from VASP.

Calculated volume in Å³/atom: 23.9
Raw total energy in eV per atom: -5.249

Geometry as Quantum ESPRESSO input:
```
&SYSTEM
  ibrav = 0, nat = 11, ntyp = 4
/
ATOMIC_SPECIES
Er 167.26 Er.upf
Tm 168.93 Tm.upf
In 114.82 In.upf
Os 190.23 Os.upf
ATOMIC_POSITIONS angstrom
Er 1.3827 0.0000 4.2648
Er 5.6718 0.0000 5.3485
Tm 0.7680 0.0000 8.1770
Tm 6.2865 0.0000 1.4364
In 1.2329 1.7667 1.4539
In 3.0041 1.7667 6.4931
In 3.8620 1.7667 0.0000
In 4.0504 1.7667 3.1203
In 5.8216 1.7667 8.1594
Os 0.1166 1.7667 6.1521
Os 6.9378 1.7667 3.4612
CELL_PARAMETERS angstrom
7.7239 0.0000 0.0000
0.0000 3.5334 0.0000
-0.6695 0.0000 9.6134
```


Entry from OQMD: crystalline BaDyAgO3 at its relaxed geometry (GGA-PBE). Values from VASP.

Calculated volume in Å³/atom: 17.7
Raw total energy in eV per atom: -6.293

Geometry as Quantum ESPRESSO input:
```
&SYSTEM
  ibrav = 0, nat = 12, ntyp = 4
/
ATOMIC_SPECIES
Ba 137.33 Ba.upf
Dy 162.50 Dy.upf
Ag 107.87 Ag.upf
O 16.00 O.upf
ATOMIC_POSITIONS angstrom
Ba 1.8276 4.0760 6.6590
Ba 1.8276 -4.0760 2.2197
Dy 1.8276 0.0000 0.0000
Dy 1.8276 0.0000 4.4393
Ag 1.8276 5.1810 2.2197
Ag 1.8276 -5.1810 6.6590
O 1.8276 5.0872 0.1530
O 1.8276 5.0872 4.2864
O 1.8276 0.6638 2.2197
O 1.8276 -0.6638 6.6590
O 1.8276 -5.0872 4.5923
O 1.8276 -5.0872 8.7257
CELL_PARAMETERS angstrom
1.8276 -6.5402 0.0000
1.8276 6.5402 0.0000
0.0000 0.0000 8.8787
```


Entry from OQMD: crystalline Ba3BiIr2O9 at its relaxed geometry (GGA-PBE). Values from VASP.

Calculated volume in Å³/atom: 15.2
Raw total energy in eV per atom: -6.481

Geometry as Quantum ESPRESSO input:
```
&SYSTEM
  ibrav = 0, nat = 30, ntyp = 4
/
ATOMIC_SPECIES
Ba 137.33 Ba.upf
Bi 208.98 Bi.upf
Ir 192.22 Ir.upf
O 16.00 O.upf
ATOMIC_POSITIONS angstrom
Ba 2.6021 5.0583 11.1517
Ba 2.7320 1.7176 6.0261
Ba 2.9830 1.7176 1.4084
Ba 2.4766 -1.7176 13.4606
Ba 2.7276 -1.7176 8.8429
Ba 2.8575 -5.0583 3.7172
Bi 0.0000 0.0000 0.0000
Bi -0.2554 0.0000 7.4345
Ir 2.4642 1.6778 12.4043
Ir 2.7399 1.6778 9.8992
Ir 2.7196 -1.6778 4.9698
Ir 2.9954 -1.6778 2.4647
O 1.1936 2.4587 10.9896
O 0.9025 0.9167 13.3548
O 2.3061 3.3256 13.4972
O 2.8980 3.3256 8.8063
O 1.5495 0.9256 8.5124
O 1.1580 -0.9167 5.9203
O 1.8049 -0.9256 1.0780
O 2.6021 0.0371 11.1517
O 4.0106 2.4587 11.3138
O 1.4490 -2.4587 3.5551
O 2.8575 -0.0371 3.7172
O 3.6547 0.9256 13.7910
O 4.3016 0.9167 8.9487
O 3.9101 -0.9256 6.3565
O 2.5616 -3.3256 6.0627
O 3.1534 -3.3256 1.3718
O 4.5570 -0.9167 1.5142
O 4.2660 -2.4587 3.8793
CELL_PARAMETERS angstrom
2.9852 -5.1332 0.0000
2.9852 5.1332 0.0000
-0.5109 0.0000 14.8689
```


Entry from OQMD: crystalline UPaPb at its relaxed geometry (GGA-PBE). Values from VASP.

Calculated volume in Å³/atom: 30.5
Raw total energy in eV per atom: -7.268
Polymorph energy (0 for the lowest one) in kJ/mol of atoms: 0.0

Geometry as Quantum ESPRESSO input:
```
&SYSTEM
  ibrav = 0, nat = 12, ntyp = 3
/
ATOMIC_SPECIES
U 238.03 U.upf
Pa 231.04 Pa.upf
Pb 207.20 Pb.upf
ATOMIC_POSITIONS angstrom
U 0.0000 0.0000 0.0000
U 0.0000 3.5754 3.5754
U 3.5754 0.0000 3.5754
U 3.5754 3.5754 0.0000
Pa 1.7877 1.7877 5.3631
Pa 1.7877 5.3631 1.7877
Pa 5.3631 1.7877 1.7877
Pa 5.3631 5.3631 5.3631
Pb 1.7877 1.7877 1.7877
Pb 1.7877 5.3631 5.3631
Pb 5.3631 1.7877 5.3631
Pb 5.3631 5.3631 1.7877
CELL_PARAMETERS angstrom
7.1507 0.0000 0.0000
0.0000 7.1507 0.0000
0.0000 0.0000 7.1507
```


Entry from OQMD: crystalline RbLuHf at its relaxed geometry (GGA-PBE). Values from VASP.

Calculated volume in Å³/atom: 43.2
Raw total energy in eV per atom: -3.473
Polymorph energy (0 for the lowest one) in kJ/mol of atoms: 0.0

Geometry as Quantum ESPRESSO input:
```
&SYSTEM
  ibrav = 0, nat = 12, ntyp = 3
/
ATOMIC_SPECIES
Rb 85.47 Rb.upf
Lu 174.97 Lu.upf
Hf 178.49 Hf.upf
ATOMIC_POSITIONS angstrom
Rb 0.0000 0.0000 0.0000
Rb 0.0000 4.0163 4.0163
Rb 4.0163 0.0000 4.0163
Rb 4.0163 4.0163 0.0000
Lu 0.0000 0.0000 4.0163
Lu 0.0000 4.0163 0.0000
Lu 4.0163 0.0000 0.0000
Lu 4.0163 4.0163 4.0163
Hf 2.0081 2.0081 6.0244
Hf 2.0081 6.0244 2.0081
Hf 6.0244 2.0081 2.0081
Hf 6.0244 6.0244 6.0244
CELL_PARAMETERS angstrom
8.0326 0.0000 0.0000
0.0000 8.0326 0.0000
0.0000 0.0000 8.0326
```


Entry from OQMD: crystalline Dy2TmIn3Pt2Au at its relaxed geometry (GGA-PBE). Values from VASP.

Calculated volume in Å³/atom: 22.0
Raw total energy in eV per atom: -5.054

Geometry as Quantum ESPRESSO input:
```
&SYSTEM
  ibrav = 0, nat = 9, ntyp = 5
/
ATOMIC_SPECIES
Dy 162.50 Dy.upf
Tm 168.93 Tm.upf
In 114.82 In.upf
Pt 195.08 Pt.upf
Au 196.97 Au.upf
ATOMIC_POSITIONS angstrom
Dy 0.0000 -3.9840 3.8927
Dy 0.0000 3.9840 3.8927
Tm 0.0000 0.0000 4.7620
In 1.8934 -1.8086 2.6388
In 1.8934 1.8086 2.6388
In 1.8934 0.0000 7.2715
Pt 1.8934 -2.2227 5.4739
Pt 1.8934 2.2227 5.4739
Au 0.0000 0.0000 1.5923
CELL_PARAMETERS angstrom
3.7868 0.0000 0.0000
0.0000 6.7251 3.8927
0.0000 -6.7251 3.8927
```


Entry from OQMD: crystalline TlNiBiTe3 at its relaxed geometry (GGA-PBE). Values from VASP.

Calculated volume in Å³/atom: 31.7
Raw total energy in eV per atom: -3.663

Geometry as Quantum ESPRESSO input:
```
&SYSTEM
  ibrav = 0, nat = 12, ntyp = 4
/
ATOMIC_SPECIES
Tl 204.38 Tl.upf
Ni 58.69 Ni.upf
Bi 208.98 Bi.upf
Te 127.60 Te.upf
ATOMIC_POSITIONS angstrom
Tl 2.1289 3.7740 8.9018
Tl 2.1289 -3.7740 2.9673
Ni 2.1289 7.0465 2.9673
Ni 2.1289 -7.0465 8.9018
Bi 2.1289 0.0000 0.0000
Bi 2.1289 0.0000 5.9345
Te 2.1289 5.4349 0.9278
Te 2.1289 5.4349 5.0067
Te 2.1289 1.0078 2.9673
Te 2.1289 -1.0078 8.9018
Te 2.1289 -5.4349 6.8623
Te 2.1289 -5.4349 10.9413
CELL_PARAMETERS angstrom
2.1289 -7.5304 0.0000
2.1289 7.5304 0.0000
0.0000 0.0000 11.8691
```


Entry from OQMD: crystalline YBiW at its relaxed geometry (GGA-PBE). Values from VASP.

Calculated volume in Å³/atom: 29.4
Raw total energy in eV per atom: -6.553
Polymorph energy (0 for the lowest one) in kJ/mol of atoms: 42.3

Geometry as Quantum ESPRESSO input:
```
&SYSTEM
  ibrav = 0, nat = 12, ntyp = 3
/
ATOMIC_SPECIES
Y 88.91 Y.upf
Bi 208.98 Bi.upf
W 183.84 W.upf
ATOMIC_POSITIONS angstrom
Y 0.0000 0.0000 0.0000
Y 0.0000 3.5347 3.5347
Y 3.5347 0.0000 3.5347
Y 3.5347 3.5347 0.0000
Bi 1.7674 1.7674 5.3021
Bi 1.7674 5.3021 1.7674
Bi 5.3021 1.7674 1.7674
Bi 5.3021 5.3021 5.3021
W 1.7674 1.7674 1.7674
W 1.7674 5.3021 5.3021
W 5.3021 1.7674 5.3021
W 5.3021 5.3021 1.7674
CELL_PARAMETERS angstrom
7.0694 0.0000 0.0000
0.0000 7.0694 0.0000
0.0000 0.0000 7.0694
```


Entry from OQMD: crystalline K2Zn2SbP at its relaxed geometry (GGA-PBE). Values from VASP.

Calculated volume in Å³/atom: 28.6
Raw total energy in eV per atom: -2.753

Geometry as Quantum ESPRESSO input:
```
&SYSTEM
  ibrav = 0, nat = 6, ntyp = 4
/
ATOMIC_SPECIES
K 39.10 K.upf
Zn 65.41 Zn.upf
Sb 121.76 Sb.upf
P 30.97 P.upf
ATOMIC_POSITIONS angstrom
K 0.0000 0.0000 2.4800
K 0.0000 0.0000 7.9349
Zn 0.0000 2.5199 5.2075
Zn 2.1823 1.2600 0.0000
Sb 2.1823 1.2600 5.2075
P 0.0000 2.5199 0.0000
CELL_PARAMETERS angstrom
4.3646 0.0000 0.0000
-2.1823 3.7799 0.0000
0.0000 0.0000 10.4149
```


Entry from OQMD: crystalline ZrZn2Ir at its relaxed geometry (GGA-PBE). Values from VASP.

Calculated volume in Å³/atom: 16.3
Raw total energy in eV per atom: -5.394

Geometry as Quantum ESPRESSO input:
```
&SYSTEM
  ibrav = 0, nat = 16, ntyp = 3
/
ATOMIC_SPECIES
Zr 91.22 Zr.upf
Zn 65.41 Zn.upf
Ir 192.22 Ir.upf
ATOMIC_POSITIONS angstrom
Zr 0.0000 0.0000 0.0000
Zr 0.0000 3.1914 3.1914
Zr 3.1914 0.0000 3.1914
Zr 3.1914 3.1914 0.0000
Zn 0.0000 0.0000 3.1914
Zn 0.0000 3.1914 0.0000
Zn 1.5957 1.5957 4.7870
Zn 1.5957 4.7870 1.5957
Zn 3.1914 0.0000 0.0000
Zn 3.1914 3.1914 3.1914
Zn 4.7870 1.5957 1.5957
Zn 4.7870 4.7870 4.7870
Ir 1.5957 1.5957 1.5957
Ir 1.5957 4.7870 4.7870
Ir 4.7870 1.5957 4.7870
Ir 4.7870 4.7870 1.5957
CELL_PARAMETERS angstrom
6.3827 0.0000 0.0000
0.0000 6.3827 0.0000
0.0000 0.0000 6.3827
```


Entry from OQMD: crystalline Li2TcOs at its relaxed geometry (GGA-PBE). Values from VASP.

Calculated volume in Å³/atom: 12.9
Raw total energy in eV per atom: -6.245

Geometry as Quantum ESPRESSO input:
```
&SYSTEM
  ibrav = 0, nat = 16, ntyp = 3
/
ATOMIC_SPECIES
Li 6.94 Li.upf
Tc 98.00 Tc.upf
Os 190.23 Os.upf
ATOMIC_POSITIONS angstrom
Li 0.0000 0.0000 0.0000
Li 0.0000 2.9570 2.9570
Li 1.4785 1.4785 1.4785
Li 1.4785 4.4355 4.4355
Li 2.9570 0.0000 2.9570
Li 2.9570 2.9570 0.0000
Li 4.4355 1.4785 4.4355
Li 4.4355 4.4355 1.4785
Tc 0.0000 0.0000 2.9570
Tc 0.0000 2.9570 0.0000
Tc 2.9570 0.0000 0.0000
Tc 2.9570 2.9570 2.9570
Os 1.4785 1.4785 4.4355
Os 1.4785 4.4355 1.4785
Os 4.4355 1.4785 1.4785
Os 4.4355 4.4355 4.4355
CELL_PARAMETERS angstrom
5.9139 0.0000 0.0000
0.0000 5.9139 0.0000
0.0000 0.0000 5.9139
```


Entry from OQMD: crystalline NaTmHgS3 at its relaxed geometry (GGA-PBE). Values from VASP.

Calculated volume in Å³/atom: 24.2
Raw total energy in eV per atom: -4.219
Polymorph energy (0 for the lowest one) in kJ/mol of atoms: 0.0

Geometry as Quantum ESPRESSO input:
```
&SYSTEM
  ibrav = 0, nat = 24, ntyp = 4
/
ATOMIC_SPECIES
Na 22.99 Na.upf
Tm 168.93 Tm.upf
Hg 200.59 Hg.upf
S 32.06 S.upf
ATOMIC_POSITIONS angstrom
Na 2.3873 1.0044 0.4090
Na 2.9587 3.0133 7.1659
Na 7.7334 1.0044 6.3480
Na 8.3047 3.0133 13.1049
Tm 0.0877 3.0133 3.4850
Tm 5.2584 1.0044 10.2419
Tm 5.4337 3.0133 3.2719
Tm 10.6044 1.0044 10.0288
Hg 2.5766 3.0133 11.0427
Hg 2.7694 1.0044 4.2858
Hg 7.9227 3.0133 9.2281
Hg 8.1155 1.0044 2.4711
S 0.2723 3.0133 11.8682
S 0.5397 1.0044 5.2729
S 2.5756 1.0044 9.2174
S 2.7704 3.0133 2.4605
S 4.8064 3.0133 12.0299
S 5.0737 1.0044 5.1113
S 5.6184 3.0133 8.4026
S 5.8857 1.0044 1.4840
S 7.9216 1.0044 11.0533
S 8.1165 3.0133 4.2964
S 10.1524 3.0133 8.2409
S 10.4198 1.0044 1.6456
CELL_PARAMETERS angstrom
10.6921 0.0000 0.0000
0.0000 4.0177 0.0000
0.0000 0.0000 13.5138
```